Computed, not measured: crystalline AlGaCuIr at its relaxed geometry at the PBE-GGA level of DFT.

Values from the calculation:
- Formation enthalpy at 0 K: -0.377 eV/atom
- Final energy: -5.308 eV/atom
- D(E_F): 0.507 states/eV per atom

Lattice parameters (Å, degrees): 4.2853 4.2853 4.2853 60.00 60.00 60.00
Atoms (fractional coordinates):
Al  0.0000  0.0000  0.0000
Ga  0.5000  0.5000  0.5000
Cu  0.2500  0.2500  0.2500
Ir  0.7500  0.7500  0.7500